(1)
# PBEsol SrPCl2, relaxed
# N(E_F) (states/eV/cell): 2.15
# Energy above the lowest structure with this stoichiometry (eV per atom): 0.000
data_SrPCl2
_space_group_name_H-M_alt 'P m m 2'
_space_group_IT_number 25
_cell_length_a 3.800
_cell_length_b 4.964
_cell_length_c 5.617
_cell_angle_alpha 90.00
_cell_angle_beta 90.00
_cell_angle_gamma 90.00
loop_
_space_group_symop_operation_xyz
'x,y,z'
'-x,-y,z'
'-x,y,z'
'x,-y,z'
loop_
_atom_site_label
_atom_site_fract_x
_atom_site_fract_y
_atom_site_fract_z
Sr1 0.000 0.000 0.000
P1 0.500 0.500 0.908
Cl1 0.000 0.000 0.509
Cl2 0.500 0.500 0.282

(2)
# PBEsol TeIr, relaxed
# N(E_F) (states/eV/cell): 2.43
data_TeIr
_space_group_name_H-M_alt 'P 4/n m m'
_space_group_IT_number 129
_cell_length_a 3.572
_cell_length_b 3.572
_cell_length_c 6.576
_cell_angle_alpha 90.00
_cell_angle_beta 90.00
_cell_angle_gamma 90.00
loop_
_space_group_symop_operation_xyz
'x,y,z'
'-x,-y,-z'
'-y+1/2,x,z'
'y+1/2,-x,-z'
'-x+1/2,-y+1/2,z'
'x+1/2,y+1/2,-z'
'y,-x+1/2,z'
'-y,x+1/2,-z'
'x+1/2,-y,-z'
'-x+1/2,y,z'
'-y,-x,-z'
'y,x,z'
'-x,y+1/2,-z'
'x,-y+1/2,z'
'y+1/2,x+1/2,-z'
'-y+1/2,-x+1/2,z'
loop_
_atom_site_label
_atom_site_fract_x
_atom_site_fract_y
_atom_site_fract_z
Te1 0.250 0.250 0.228
Ir1 0.250 0.250 0.620

no.,uncorrected energy (eV per atom),E_form (uncorrected) (eV/atom)
1,-3.854,-0.942
2,-6.509,0.166